Computed, not measured: an optimized crystal structure of Ti3ZnH at the GGA-PBE level of DFT.

Computed properties:
mass density	4.5	g cm⁻³
uncorrected energy	-5.447	eV per atom

Cell: 7.6108 7.6108 7.6108 Å, 60.00 60.00 60.00°
Atoms (fractional coordinates):
H1 0.1250 0.1250 0.1250
H2 0.1250 0.6250 0.1250
H3 0.6250 0.1250 0.1250
H4 0.1250 0.1250 0.6250
Zn1 0.6250 0.6250 0.6250
Zn2 0.6250 0.1250 0.6250
Zn3 0.1250 0.6250 0.6250
Zn4 0.6250 0.6250 0.1250
Ti1 0.8057 0.1943 0.1943
Ti2 0.0557 0.4443 0.4443
Ti3 0.4443 0.4443 0.0557
Ti4 0.4443 0.0557 0.0557
Ti5 0.0557 0.4443 0.0557
Ti6 0.8057 0.1943 0.8057
Ti7 0.4443 0.0557 0.4443
Ti8 0.0557 0.0557 0.4443
Ti9 0.1943 0.8057 0.1943
Ti10 0.1943 0.8057 0.8057
Ti11 0.1943 0.1943 0.8057
Ti12 0.8057 0.8057 0.1943